# SrScTa2 GGA-PBE relaxed
data_SrScTa2
_cell_length_a 3.651
_cell_length_b 3.651
_cell_length_c 7.477
_cell_angle_alpha 90.00
_cell_angle_beta 90.00
_cell_angle_gamma 90.00
_symmetry_space_group_name_H-M 'P 4/m m m'
_symmetry_Int_Tables_number 123
_symmetry_space_group_name_Hall '-P 4 2'
loop_
_atom_site_label
_atom_site_type_symbol
_atom_site_fract_x
_atom_site_fract_y
_atom_site_fract_z
Sr1 Sr 0.000 0.000 0.000
Sc1 Sc 0.000 0.000 0.500
Ta1 Ta 0.500 0.500 0.324
# total DFT energy (no corrections) = -28.69 eV per cell
# crystal system = tetragonal
# calculated volume = 24.9 Å³ per atom
# total magnetization = 0.00 μB/f.u.
# ΔE to the lowest computed polymorph = 0.400 eV/atom
# formation enthalpy at 0 K = 0.757 eV per atom
# calculated density = 8238 kg/m3

=====

# SrScTa2 GGA-PBE relaxed
data_SrScTa2
_cell_length_a 3.554
_cell_length_b 3.554
_cell_length_c 8.306
_cell_angle_alpha 90.00
_cell_angle_beta 90.00
_cell_angle_gamma 90.00
_symmetry_space_group_name_H-M 'P 4 m m'
_symmetry_Int_Tables_number 99
_symmetry_space_group_name_Hall 'P 4 -2'
loop_
_atom_site_label
_atom_site_type_symbol
_atom_site_fract_x
_atom_site_fract_y
_atom_site_fract_z
Sr1 Sr 0.000 0.000 0.000
Sc1 Sc 0.500 0.500 0.642
Ta1 Ta 0.000 0.000 0.431
Ta2 Ta 0.500 0.500 0.293
# total DFT energy (no corrections) = -30.29 eV per cell
# crystal system = tetragonal
# calculated volume = 26.2 Å³ per atom
# total magnetization = 0.00 μB/f.u.
# ΔE to the lowest computed polymorph = 0.000 eV/atom
# formation enthalpy at 0 K = 0.357 eV per atom
# calculated density = 7825 kg/m3

=====

# SrScTa2 GGA-PBE relaxed
data_SrScTa2
_cell_length_a 9.611
_cell_length_b 3.063
_cell_length_c 6.832
_cell_angle_alpha 90.00
_cell_angle_beta 93.45
_cell_angle_gamma 90.00
_symmetry_space_group_name_H-M 'C 1 m 1'
_symmetry_Int_Tables_number 8
_symmetry_space_group_name_Hall 'C -2y'
loop_
_atom_site_label
_atom_site_type_symbol
_atom_site_fract_x
_atom_site_fract_y
_atom_site_fract_z
Sr1 Sr 0.000 0.000 0.000
Sc1 Sc 0.266 0.500 0.330
Ta1 Ta 0.003 0.500 0.539
Ta2 Ta 0.240 0.000 0.691
# total DFT energy (no corrections) = -58.97 eV per cell
# crystal system = monoclinic
# calculated volume = 25.1 Å³ per atom
# total magnetization = 0.00 μB/f.u.
# ΔE to the lowest computed polymorph = 0.201 eV/atom
# formation enthalpy at 0 K = 0.558 eV per atom
# calculated density = 8179 kg/m3

=====

# SrScTa2 GGA-PBE relaxed
data_SrScTa2
_cell_length_a 5.931
_cell_length_b 10.375
_cell_length_c 2.930
_cell_angle_alpha 90.00
_cell_angle_beta 90.51
_cell_angle_gamma 90.00
_symmetry_space_group_name_H-M 'C 1 2/m 1'
_symmetry_Int_Tables_number 12
_symmetry_space_group_name_Hall '-C 2y'
loop_
_atom_site_label
_atom_site_type_symbol
_atom_site_fract_x
_atom_site_fract_y
_atom_site_fract_z
Sr1 Sr 0.000 0.000 0.000
Sc1 Sc 0.000 0.500 0.000
Ta1 Ta 0.250 0.250 0.500
# total DFT energy (no corrections) = -57.08 eV per cell
# crystal system = monoclinic
# calculated volume = 22.5 Å³ per atom
# total magnetization = 0.00 μB/f.u.
# ΔE to the lowest computed polymorph = 0.438 eV/atom
# formation enthalpy at 0 K = 0.795 eV per atom
# calculated density = 9108 kg/m3

=====

# SrScTa2 GGA-PBE relaxed
data_SrScTa2
_cell_length_a 7.183
_cell_length_b 7.183
_cell_length_c 7.183
_cell_angle_alpha 90.00
_cell_angle_beta 90.00
_cell_angle_gamma 90.00
_symmetry_space_group_name_H-M 'F m -3 m'
_symmetry_Int_Tables_number 225
_symmetry_space_group_name_Hall '-F 4 2 3'
loop_
_atom_site_label
_atom_site_type_symbol
_atom_site_fract_x
_atom_site_fract_y
_atom_site_fract_z
Sr1 Sr 0.000 0.000 0.000
Sc1 Sc 0.000 0.000 0.500
Ta1 Ta 0.250 0.250 0.250
# total DFT energy (no corrections) = -108.03 eV per cell
# crystal system = cubic
# calculated volume = 23.2 Å³ per atom
# total magnetization = 0.00 μB/f.u.
# ΔE to the lowest computed polymorph = 0.821 eV/atom
# formation enthalpy at 0 K = 1.178 eV per atom
# calculated density = 8861 kg/m3

=====

# SrScTa2 GGA-PBE relaxed
data_SrScTa2
_cell_length_a 3.301
_cell_length_b 5.691
_cell_length_c 10.592
_cell_angle_alpha 90.00
_cell_angle_beta 90.00
_cell_angle_gamma 90.00
_symmetry_space_group_name_H-M 'I m m 2'
_symmetry_Int_Tables_number 44
_symmetry_space_group_name_Hall 'I 2 -2'
loop_
_atom_site_label
_atom_site_type_symbol
_atom_site_fract_x
_atom_site_fract_y
_atom_site_fract_z
Sr1 Sr 0.000 0.000 0.000
Sc1 Sc 0.000 0.500 0.207
Ta1 Ta 0.000 0.000 0.462
Ta2 Ta 0.000 0.500 0.773
# total DFT energy (no corrections) = -57.73 eV per cell
# crystal system = orthorhombic
# calculated volume = 24.9 Å³ per atom
# total magnetization = 0.00 μB/f.u.
# ΔE to the lowest computed polymorph = 0.357 eV/atom
# formation enthalpy at 0 K = 0.714 eV per atom
# calculated density = 8254 kg/m3

=====

# SrScTa2 GGA-PBE relaxed
data_SrScTa2
_cell_length_a 3.1044
_cell_length_b 3.1044
_cell_length_c 32.7821
_cell_angle_alpha 90.00
_cell_angle_beta 90.00
_cell_angle_gamma 120.00
_symmetry_space_group_name_H-M 'R -3 m'
_symmetry_Int_Tables_number 166
_symmetry_space_group_name_Hall '-R 3 2"'
loop_
_atom_site_label
_atom_site_type_symbol
_atom_site_fract_x
_atom_site_fract_y
_atom_site_fract_z
Sr1 Sr 0.0000 0.0000 0.0000
Sc1 Sc 0.0000 0.0000 0.5000
Ta1 Ta 0.0000 0.0000 0.2429
# total DFT energy (no corrections) = -86.69 eV per cell
# crystal system = trigonal
# calculated volume = 22.8 Å³ per atom
# total magnetization = 0.00 μB/f.u.
# ΔE to the lowest computed polymorph = 0.349 eV/atom
# formation enthalpy at 0 K = 0.706 eV per atom
# calculated density = 9003 kg/m3

=====

# SrScTa2 GGA-PBE relaxed
data_SrScTa2
_cell_length_a 4.989
_cell_length_b 4.989
_cell_length_c 20.849
_cell_angle_alpha 90.00
_cell_angle_beta 90.00
_cell_angle_gamma 90.00
_symmetry_space_group_name_H-M 'I 41/a m d'
_symmetry_Int_Tables_number 141
loop_
_symmetry_equiv_pos_as_xyz
'x,y,z'
'-x,-y,-z'
'-y+1/4,x+3/4,z+1/4'
'y+1/4,-x+3/4,-z+1/4'
'-x+1/2,-y,z+1/2'
'x+1/2,y,-z+1/2'
'y+1/4,-x+1/4,z+3/4'
'-y+1/4,x+1/4,-z+3/4'
'x,-y,-z'
'-x,y,z'
'-y+1/4,-x+1/4,-z+3/4'
'y+1/4,x+1/4,z+3/4'
'-x+1/2,y,-z+1/2'
'x+1/2,-y,z+1/2'
'y+1/4,x+3/4,-z+1/4'
'-y+1/4,-x+3/4,z+1/4'
'x+1/2,y+1/2,z+1/2'
'-x+1/2,-y+1/2,-z+1/2'
'-y+3/4,x+1/4,z+3/4'
'y+3/4,-x+1/4,-z+3/4'
'-x,-y+1/2,z'
'x,y+1/2,-z'
'y+3/4,-x+3/4,z+1/4'
'-y+3/4,x+3/4,-z+1/4'
'x+1/2,-y+1/2,-z+1/2'
'-x+1/2,y+1/2,z+1/2'
'-y+3/4,-x+3/4,-z+1/4'
'y+3/4,x+3/4,z+1/4'
'-x,y+1/2,-z'
'x,-y+1/2,z'
'y+3/4,x+1/4,-z+3/4'
'-y+3/4,-x+1/4,z+3/4'
loop_
_atom_site_label
_atom_site_type_symbol
_atom_site_fract_x
_atom_site_fract_y
_atom_site_fract_z
Sr1 Sr 0.000 0.250 0.375
Sc1 Sc 0.000 0.250 0.875
Ta1 Ta 0.000 0.000 0.000
# total DFT energy (no corrections) = -105.70 eV per cell
# crystal system = tetragonal
# calculated volume = 32.4 Å³ per atom
# total magnetization = 0.00 μB/f.u.
# ΔE to the lowest computed polymorph = 0.967 eV/atom
# formation enthalpy at 0 K = 1.324 eV per atom
# calculated density = 6330 kg/m3

=====

# SrScTa2 GGA-PBE relaxed
data_SrScTa2
_cell_length_a 4.190
_cell_length_b 4.190
_cell_length_c 10.289
_cell_angle_alpha 90.00
_cell_angle_beta 90.00
_cell_angle_gamma 90.00
_symmetry_space_group_name_H-M 'I 4/m m m'
_symmetry_Int_Tables_number 139
_symmetry_space_group_name_Hall '-I 4 2'
loop_
_atom_site_label
_atom_site_type_symbol
_atom_site_fract_x
_atom_site_fract_y
_atom_site_fract_z
Sr1 Sr 0.000 0.000 0.000
Sc1 Sc 0.000 0.000 0.500
Ta1 Ta 0.000 0.500 0.250
# total DFT energy (no corrections) = -56.72 eV per cell
# crystal system = tetragonal
# calculated volume = 22.6 Å³ per atom
# total magnetization = 0.00 μB/f.u.
# ΔE to the lowest computed polymorph = 0.483 eV/atom
# formation enthalpy at 0 K = 0.840 eV per atom
# calculated density = 9089 kg/m3

=====

# SrScTa2 GGA-PBE relaxed
data_SrScTa2
_cell_length_a 3.072
_cell_length_b 4.671
_cell_length_c 7.092
_cell_angle_alpha 90.00
_cell_angle_beta 97.66
_cell_angle_gamma 90.00
_symmetry_space_group_name_H-M 'P 1 m 1'
_symmetry_Int_Tables_number 6
_symmetry_space_group_name_Hall 'P -2y'
loop_
_atom_site_label
_atom_site_type_symbol
_atom_site_fract_x
_atom_site_fract_y
_atom_site_fract_z
Sr1 Sr 0.000 0.000 0.000
Sc1 Sc 0.292 0.500 0.664
Ta1 Ta 0.536 0.000 0.454
Ta2 Ta 0.786 0.500 0.307
# total DFT energy (no corrections) = -29.52 eV per cell
# crystal system = monoclinic
# calculated volume = 25.2 Å³ per atom
# total magnetization = 0.00 μB/f.u.
# ΔE to the lowest computed polymorph = 0.193 eV/atom
# formation enthalpy at 0 K = 0.550 eV per atom
# calculated density = 8142 kg/m3

=====

# SrScTa2 GGA-PBE relaxed
data_SrScTa2
_cell_length_a 4.188
_cell_length_b 4.188
_cell_length_c 5.171
_cell_angle_alpha 90.00
_cell_angle_beta 90.00
_cell_angle_gamma 90.00
_symmetry_space_group_name_H-M 'P 4/m m m'
_symmetry_Int_Tables_number 123
_symmetry_space_group_name_Hall '-P 4 2'
loop_
_atom_site_label
_atom_site_type_symbol
_atom_site_fract_x
_atom_site_fract_y
_atom_site_fract_z
Sr1 Sr 0.000 0.000 0.000
Sc1 Sc 0.500 0.500 0.000
Ta1 Ta 0.000 0.500 0.500
# total DFT energy (no corrections) = -28.36 eV per cell
# crystal system = tetragonal
# calculated volume = 22.7 Å³ per atom
# total magnetization = 0.00 μB/f.u.
# ΔE to the lowest computed polymorph = 0.482 eV/atom
# formation enthalpy at 0 K = 0.839 eV per atom
# calculated density = 9055 kg/m3

=====

# SrScTa2 GGA-PBE relaxed
data_SrScTa2
_cell_length_a 10.337
_cell_length_b 3.050
_cell_length_c 6.423
_cell_angle_alpha 90.00
_cell_angle_beta 93.79
_cell_angle_gamma 90.00
_symmetry_space_group_name_H-M 'C 1 2/m 1'
_symmetry_Int_Tables_number 12
_symmetry_space_group_name_Hall '-C 2y'
loop_
_atom_site_label
_atom_site_type_symbol
_atom_site_fract_x
_atom_site_fract_y
_atom_site_fract_z
Sr1 Sr 0.000 0.000 0.000
Sc1 Sc 0.000 0.500 0.500
Ta1 Ta 0.239 0.000 0.676
# total DFT energy (no corrections) = -58.18 eV per cell
# crystal system = monoclinic
# calculated volume = 25.3 Å³ per atom
# total magnetization = 0.00 μB/f.u.
# ΔE to the lowest computed polymorph = 0.300 eV/atom
# formation enthalpy at 0 K = 0.657 eV per atom
# calculated density = 8127 kg/m3